(1)
! CsCdSbTe2, optimized geometry, DFT PBE; values from VASP
! offset from the most stable computed form: 0.0000 eV per atom
! calculated volume: 195 Å³/cell
! formation energy without anion corrections: -0.0257 eV per atom
! total magnetization: 0.00 μB/f.u.
! symmetry: P4/mmm (123)
&SYSTEM
  ibrav = 0, nat = 5, ntyp = 4
/
ATOMIC_SPECIES
Cs 132.91 Cs.upf
Sb 121.76 Sb.upf
Te 127.60 Te.upf
Cd 112.41 Cd.upf
CELL_PARAMETERS angstrom
5.9082 0.0000 0.0000
0.0000 5.9082 0.0000
0.0000 0.0000 5.5735
ATOMIC_POSITIONS angstrom
Cs 2.9541 2.9541 2.7868
Sb 0.0000 0.0000 2.7868
Te 0.0000 2.9541 0.0000
Te 2.9541 0.0000 0.0000
Cd 0.0000 0.0000 0.0000

***

(2)
! Dy6GeS4, optimized geometry, DFT PBE; values from VASP
! calculated volume: 500 Å³/cell
! formation energy without anion corrections: -1.6386 eV per atom
! total magnetization: 0.00 μB/f.u.
! symmetry: Cmcm (63)
&SYSTEM
  ibrav = 0, nat = 22, ntyp = 3
/
ATOMIC_SPECIES
Dy 162.50 Dy.upf
Ge 72.64 Ge.upf
S 32.06 S.upf
CELL_PARAMETERS angstrom
3.9533 0.0000 0.0000
-1.9766 6.3829 0.0000
0.0000 0.0000 19.8220
ATOMIC_POSITIONS angstrom
Dy 1.9766 0.0000 0.0000
Dy 1.9766 0.0000 9.9110
Dy 0.0000 0.6317 6.6475
Dy 1.9766 5.7511 13.1745
Dy 1.9766 5.7511 16.5585
Dy 0.0000 0.6317 3.2635
Dy 1.9766 3.4865 8.2191
Dy 0.0000 2.8964 11.6028
Dy 0.0000 2.8964 18.1301
Dy 1.9766 3.4865 1.6918
Dy 0.0000 4.2138 4.9555
Dy 1.9766 2.1690 14.8665
Ge 1.9766 2.1097 4.9555
Ge 0.0000 4.2732 14.8665
S 1.9766 4.6218 10.7038
S 0.0000 5.2337 2.4664
S 0.0000 1.7610 9.1182
S 1.9766 1.1492 17.3555
S 1.9766 4.6218 19.0291
S 0.0000 1.7610 0.7928
S 1.9766 1.1492 12.3774
S 0.0000 5.2337 7.4445

***

(3)
! Cr3Tc2, optimized geometry, DFT PBE; values from VASP
! calculated volume: 66 Å³/cell
! E_form: 0.271 eV/atom
! total magnetization: 0.00 μB/f.u.
! symmetry: R-3m (166)
&SYSTEM
  ibrav = 0, nat = 5, ntyp = 2
/
ATOMIC_SPECIES
Cr 52.00 Cr.upf
Tc 98.00 Tc.upf
CELL_PARAMETERS angstrom
-5.4042 -1.1364 -9.0544
-6.3159 -3.3487 -7.8342
-7.5229 -0.9868 -7.4102
ATOMIC_POSITIONS angstrom
Cr 0.0000 0.0000 0.0000
Cr -3.8049 -1.0820 -4.8046
Cr -15.4381 -4.3899 -19.4942
Tc -11.5079 -3.2723 -14.5314
Tc -7.7351 -2.1995 -9.7674

***

(4)
! La3PaS4, optimized geometry, DFT PBE; values from VASP
! calculated volume: 386 Å³/cell
! formation energy without anion corrections: -1.9841 eV per atom
! total magnetization: 0.22 μB/f.u.
! symmetry: P2/c (13)
&SYSTEM
  ibrav = 0, nat = 16, ntyp = 3
/
ATOMIC_SPECIES
S 32.06 S.upf
Pa 231.04 Pa.upf
La 138.91 La.upf
CELL_PARAMETERS angstrom
-0.8137 6.4619 2.7203
-4.5020 -0.8576 -5.4248
-5.6540 -2.8789 5.1474
ATOMIC_POSITIONS angstrom
S -5.4725 4.3790 4.6413
S -6.4592 0.4967 4.6039
S -3.5664 1.9114 1.9163
S -1.7473 -0.5421 -0.6755
S -9.2224 3.2675 3.1184
S -7.4032 0.8139 0.5266
S -4.5105 2.2286 -2.1611
S -5.4972 -1.6536 -2.1984
Pa -5.5808 2.3155 6.5654
Pa -0.8869 1.2675 1.3023
La -2.7165 3.7739 3.9578
La -3.7511 -0.1909 3.9099
La -6.4081 2.6116 2.5569
La -3.5621 4.0607 -0.0341
La -4.5616 0.1137 -0.1140
La -7.4076 -1.3354 2.4770

***

(5)
! YPtN2F, optimized geometry, DFT PBE; values from VASP
! offset from the most stable computed form: 0.6298 eV per atom
! calculated volume: 84 Å³/cell
! formation energy without anion corrections: 0.4512 eV per atom
! total magnetization: 0.23 μB/f.u.
! symmetry: P4/mmm (123)
&SYSTEM
  ibrav = 0, nat = 5, ntyp = 4
/
ATOMIC_SPECIES
Y 88.91 Y.upf
N 14.01 N.upf
Pt 195.08 Pt.upf
F 19.00 F.upf
CELL_PARAMETERS angstrom
4.5030 0.0000 0.0000
0.0000 4.5030 0.0000
0.0000 0.0000 4.1274
ATOMIC_POSITIONS angstrom
Y 0.0000 0.0000 0.0000
N 0.0000 2.2515 0.0000
N 2.2515 0.0000 0.0000
Pt 2.2515 2.2515 2.0637
F 0.0000 0.0000 2.0637

***

(6)
! Tb6Nd2Dy3Th, optimized geometry, DFT PBE; values from VASP
! calculated volume: 389 Å³/cell
! E_form: 0.029 eV/atom
! total magnetization: 0.00 μB/f.u.
! symmetry: C2/m (12)
&SYSTEM
  ibrav = 0, nat = 12, ntyp = 4
/
ATOMIC_SPECIES
Tb 158.93 Tb.upf
Nd 144.24 Nd.upf
Dy 162.50 Dy.upf
Th 232.04 Th.upf
CELL_PARAMETERS angstrom
-5.7378 -1.5083 1.8146
2.6403 -3.0073 -4.7408
5.4380 -6.3347 8.3986
ATOMIC_POSITIONS angstrom
Tb 0.3659 -7.8857 5.1700
Tb -0.9724 -5.0027 -0.0988
Tb 1.9746 -2.9645 0.3024
Tb 3.1252 -8.3794 3.0111
Tb 3.3129 -5.8476 5.5712
Tb -0.7847 -2.4708 2.4614
Nd -0.1530 -2.5075 -2.5552
Nd -2.9445 -2.0081 -0.3710
Dy 3.9607 -5.9244 0.5529
Dy -1.6202 -4.9259 4.9196
Dy 1.1703 -5.4251 2.7362
Th 0.0000 0.0000 0.0000

***

(7)
! BaCaRu2, optimized geometry, DFT PBE; values from VASP
! offset from the most stable computed form: 0.7118 eV per atom
! calculated volume: 87 Å³/cell
! E_form: 0.875 eV/atom
! total magnetization: 0.00 μB/f.u.
! symmetry: C2/m (12)
&SYSTEM
  ibrav = 0, nat = 4, ntyp = 3
/
ATOMIC_SPECIES
Ru 101.07 Ru.upf
Ca 40.08 Ca.upf
Ba 137.33 Ba.upf
CELL_PARAMETERS angstrom
5.8661 -0.0053 -0.0156
-2.7484 4.9349 0.0071
0.3694 1.0271 3.0121
ATOMIC_POSITIONS angstrom
Ru 0.0000 0.0000 0.0000
Ru 3.1177 0.5109 1.4983
Ca 1.5589 2.4648 -0.0042
Ba -1.1895 2.9810 1.5096

***

(8)
! Mg2MnFe, optimized geometry, DFT PBE; values from VASP
! offset from the most stable computed form: 0.0794 eV per atom
! calculated volume: 63 Å³/cell
! E_form: 0.261 eV/atom
! total magnetization: 4.38 μB/f.u.
! symmetry: Imm2 (44)
&SYSTEM
  ibrav = 0, nat = 4, ntyp = 3
/
ATOMIC_SPECIES
Fe 55.84 Fe.upf
Mg 24.30 Mg.upf
Mn 54.94 Mn.upf
CELL_PARAMETERS angstrom
5.3645 0.0059 0.0058
2.5409 4.7246 -0.0058
-3.3522 -3.3688 2.4884
ATOMIC_POSITIONS angstrom
Fe 1.7568 1.9719 1.2413
Mg 0.1565 0.0936 0.0000
Mg 2.8870 -0.5560 1.2471
Mn 3.7057 2.2175 0.0000

***

(9)
! V5Ge4, optimized geometry, DFT PBE; values from VASP
! calculated volume: 131 Å³/cell
! E_form: -0.218 eV/atom
! total magnetization: 0.00 μB/f.u.
! symmetry: Immm (71)
&SYSTEM
  ibrav = 0, nat = 9, ntyp = 2
/
ATOMIC_SPECIES
V 50.94 V.upf
Ge 72.64 Ge.upf
CELL_PARAMETERS angstrom
3.3142 -0.0032 -0.0032
1.6652 6.3338 0.6793
1.6653 0.6794 6.3335
ATOMIC_POSITIONS angstrom
V 1.6571 -0.0016 -0.0016
V 1.6627 4.1983 0.6205
V 1.6628 0.6207 4.1981
V 4.9820 6.3894 2.8115
V 4.9820 2.8117 6.3892
Ge 1.6611 1.9373 1.9372
Ge 3.3224 4.4073 2.6025
Ge 3.3224 2.6027 4.4071
Ge 4.9836 5.0727 5.0725

***

(10)
! Cr2Pd8Au, optimized geometry, DFT PBE; values from VASP
! offset from the most stable computed form: 0.0000 eV per atom
! calculated volume: 165 Å³/cell
! E_form: 0.007 eV/atom
! total magnetization: 0.01 μB/f.u.
! symmetry: C2/m (12)
&SYSTEM
  ibrav = 0, nat = 11, ntyp = 3
/
ATOMIC_SPECIES
Cr 52.00 Cr.upf
Pd 106.42 Pd.upf
Au 196.97 Au.upf
CELL_PARAMETERS angstrom
3.8275 0.0000 0.0000
0.0000 6.2281 0.3769
-1.9138 -2.2674 6.7638
ATOMIC_POSITIONS angstrom
Cr 1.9138 1.2076 3.7733
Cr 0.0000 2.7531 3.3674
Pd 0.0000 1.5292 5.6310
Pd 1.9138 4.8299 2.8413
Pd 1.9138 3.3863 5.1038
Pd 1.9138 -0.3243 6.1957
Pd 0.0000 0.5744 2.0369
Pd 0.0000 -0.8691 4.2993
Pd 1.9138 2.4315 1.5097
Pd 0.0000 4.2850 0.9450
Au 1.9138 0.0000 0.0000

***

(11)
! CdNi3N, optimized geometry, DFT PBE; values from VASP
! offset from the most stable computed form: 0.4519 eV per atom
! calculated volume: 87 Å³/cell
! formation energy without anion corrections: 0.3873 eV per atom
! total magnetization: 0.00 μB/f.u.
! symmetry: Amm2 (38)
&SYSTEM
  ibrav = 0, nat = 5, ntyp = 3
/
ATOMIC_SPECIES
Ni 58.69 Ni.upf
N 14.01 N.upf
Cd 112.41 Cd.upf
CELL_PARAMETERS angstrom
-1.7088 1.7981 -1.1240
2.9745 -1.1615 -6.3799
-5.2679 -2.3992 4.1704
ATOMIC_POSITIONS angstrom
Ni -2.0576 -0.0736 -0.2889
Ni -3.2215 -1.8807 -1.4102
Ni -3.0149 -2.0609 1.2866
N -1.9300 -1.8980 -0.1021
Cd -5.2597 -1.3706 2.5042

***

(12)
! K2TlMo, optimized geometry, DFT PBE; values from VASP
! offset from the most stable computed form: 0.0000 eV per atom
! calculated volume: 157 Å³/cell
! E_form: 0.761 eV/atom
! total magnetization: 2.29 μB/f.u.
! symmetry: P4mm (99)
&SYSTEM
  ibrav = 0, nat = 4, ntyp = 3
/
ATOMIC_SPECIES
K 39.10 K.upf
Mo 95.94 Mo.upf
Tl 204.38 Tl.upf
CELL_PARAMETERS angstrom
3.9255 0.0000 0.0000
0.0000 3.9215 0.0000
0.0000 0.0000 10.2172
ATOMIC_POSITIONS angstrom
K 0.0000 0.0000 9.4891
K 1.9627 1.9607 3.2632
Mo 0.0000 0.0000 6.1563
Tl 1.9627 1.9607 6.6342